## i
GGA-PBE La2YInH, optimized geometry; density of states at the Fermi level = 1.036 states/eV per atom; space-group type = P4/mmm, No. 123; M_tot = 0.0 μB per cell
1.0
4.878 0.000 0.000
0.000 4.878 0.000
0.000 0.000 5.277
La Y In H
2 1 1 1
direct
0.000 0.500 0.000
0.500 0.000 0.000
0.000 0.000 0.500
0.500 0.500 0.500
0.500 0.500 0.000

## ii
GGA-PBE La2YInH, optimized geometry; density of states at the Fermi level = 0.884 states/eV per atom; space-group type = P4/mmm, No. 123; M_tot = 0.0 μB per cell
1.0
4.932 0.000 0.000
0.000 4.932 0.000
0.000 0.000 5.186
La Y In H
2 1 1 1
direct
0.000 0.500 0.000
0.500 0.000 0.000
0.000 0.000 0.500
0.500 0.500 0.500
0.000 0.000 0.000

Energies relative to the most stable structure, in kJ/mol of atoms: i 7.1; ii 0.0.

## i
GGA-PBE Li2InH, optimized geometry; density of states at the Fermi level = 0.012 states/eV per atom; space-group type = I-42d, No. 122; M_tot = 0.0 μB per cell
1.0
-2.765 2.765 3.876
2.765 -2.765 3.876
2.765 2.765 -3.876
Li In H
4 2 2
direct
0.375 0.160 0.285
0.840 0.125 0.215
0.875 0.090 0.715
0.910 0.625 0.785
0.250 0.750 0.500
0.500 0.500 0.000
0.000 0.000 0.000
0.750 0.250 0.500

## ii
GGA-PBE Li2InH, optimized geometry; density of states at the Fermi level = 0.312 states/eV per atom; space-group type = P4/mmm, No. 123; M_tot = 0.0 μB per cell
1.0
2.888 0.000 0.000
0.000 2.888 0.000
0.000 0.000 7.232
Li In H
2 1 1
direct
0.000 0.000 0.178
0.000 0.000 0.822
0.500 0.500 0.500
0.500 0.500 0.000

Energies relative to the most stable structure, in kJ/mol of atoms: i 0.0; ii 13.7.

## i
GGA-PBE Li2InH, optimized geometry; density of states at the Fermi level = 0.236 states/eV per atom; space-group type = R-3m, No. 166; M_tot = 0.0 μB per cell
1.0
1.548 0.894 7.208
-1.548 0.894 7.208
0.000 -1.788 7.208
Li In H
2 1 1
direct
0.219 0.219 0.219
0.781 0.781 0.781
0.000 0.000 0.000
0.500 0.500 0.500

## ii
GGA-PBE Li2InH, optimized geometry; density of states at the Fermi level = 0.428 states/eV per atom; space-group type = Fm-3m, No. 225; M_tot = 0.0 μB per cell
1.0
0.000 3.223 3.223
3.223 0.000 3.223
3.223 3.223 0.000
Li In H
2 1 1
direct
0.250 0.250 0.250
0.750 0.750 0.750
0.000 0.000 0.000
0.500 0.500 0.500

Energies relative to the most stable structure, in kJ/mol of atoms: i 0.0; ii 50.8.

## i
GGA-PBE LiIn2H2, optimized geometry; density of states at the Fermi level = 0.270 states/eV per atom; space-group type = P4/mmm, No. 123; M_tot = 0.0 μB per cell
1.0
4.281 0.000 0.000
0.000 4.281 0.000
0.000 0.000 4.313
Li In H
1 2 2
direct
0.000 0.000 0.000
0.000 0.500 0.500
0.500 0.000 0.500
0.000 0.500 0.000
0.500 0.000 0.000

## ii
GGA-PBE LiIn2H2, optimized geometry; density of states at the Fermi level = 0.247 states/eV per atom; space-group type = I4/mmm, No. 139; M_tot = 0.0 μB per cell
1.0
-1.692 1.692 6.849
1.692 -1.692 6.849
1.692 1.692 -6.849
Li In H
1 2 2
direct
0.000 0.000 0.000
0.358 0.358 0.000
0.642 0.642 0.000
0.250 0.750 0.500
0.750 0.250 0.500

Energies relative to the most stable structure, in kJ/mol of atoms: i 0.0; ii 11.8.

## i
GGA-PBE LiInH, optimized geometry; density of states at the Fermi level = 0.113 states/eV per atom; space-group type = P3m1, No. 156; M_tot = 0.0 μB per cell
1.0
3.150 0.000 0.000
-1.575 2.728 0.000
0.000 0.000 5.933
Li In H
1 1 1
direct
0.000 0.000 0.000
0.333 0.667 0.500
0.667 0.333 0.001

## ii
GGA-PBE LiInH, optimized geometry; density of states at the Fermi level = 0.295 states/eV per atom; space-group type = I4mm, No. 107; M_tot = 0.0 μB per cell
1.0
-1.494 1.494 5.388
1.494 -1.494 5.388
1.494 1.494 -5.388
Li In H
1 1 1
direct
0.000 0.000 0.000
0.722 0.722 0.000
0.518 0.518 0.000

Energies relative to the most stable structure, in kJ/mol of atoms: i 0.7; ii 0.0.

## i
GGA-PBE LiIn3H, optimized geometry; density of states at the Fermi level = 0.357 states/eV per atom; space-group type = Pm-3m, No. 221; M_tot = 0.0 μB per cell
1.0
4.988 0.000 0.000
0.000 4.988 0.000
0.000 0.000 4.988
Li In H
1 3 1
direct
0.000 0.000 0.000
0.000 0.000 0.500
0.000 0.500 0.000
0.500 0.000 0.000
0.500 0.500 0.500

## ii
GGA-PBE LiIn3H, optimized geometry; density of states at the Fermi level = 0.477 states/eV per atom; space-group type = Pm-3m, No. 221; M_tot = 0.0 μB per cell
1.0
4.693 0.000 0.000
0.000 4.693 0.000
0.000 0.000 4.693
Li In H
1 3 1
direct
0.000 0.000 0.000
0.000 0.500 0.500
0.500 0.000 0.500
0.500 0.500 0.000
0.500 0.500 0.500

Energies relative to the most stable structure, in kJ/mol of atoms: i 39.0; ii 0.0.

## i
GGA-PBE Li2MgInH, optimized geometry; density of states at the Fermi level = 0.131 states/eV per atom; space-group type = P4/mmm, No. 123; M_tot = 0.0 μB per cell
1.0
4.191 0.000 0.000
0.000 4.191 0.000
0.000 0.000 4.803
Li Mg In H
2 1 1 1
direct
0.000 0.500 0.000
0.500 0.000 0.000
0.000 0.000 0.500
0.500 0.500 0.500
0.500 0.500 0.000

## ii
GGA-PBE Li2MgInH, optimized geometry; density of states at the Fermi level = 0.156 states/eV per atom; space-group type = P4/mmm, No. 123; M_tot = 0.0 μB per cell
1.0
4.386 0.000 0.000
0.000 4.386 0.000
0.000 0.000 4.070
Li Mg In H
2 1 1 1
direct
0.000 0.500 0.000
0.500 0.000 0.000
0.000 0.000 0.500
0.500 0.500 0.500
0.000 0.000 0.000

Energies relative to the most stable structure, in kJ/mol of atoms: i 12.5; ii 0.0.

## i
GGA-PBE LiInHRu2, optimized geometry; density of states at the Fermi level = 1.124 states/eV per atom; space-group type = P4/mmm, No. 123; M_tot = 1.1 μB per cell
1.0
3.895 0.000 0.000
0.000 3.895 0.000
0.000 0.000 4.144
Li In H Ru
1 1 1 2
direct
0.000 0.000 0.000
0.500 0.500 0.000
0.000 0.000 0.500
0.000 0.500 0.500
0.500 0.000 0.500

## ii
GGA-PBE LiInHRu2, optimized geometry; density of states at the Fermi level = 0.738 states/eV per atom; space-group type = P4/mmm, No. 123; M_tot = 2.9 μB per cell
1.0
4.189 0.000 0.000
0.000 4.189 0.000
0.000 0.000 4.568
Li In H Ru
1 1 1 2
direct
0.000 0.000 0.000
0.000 0.000 0.500
0.500 0.500 0.500
0.000 0.500 0.000
0.500 0.000 0.000

Energies relative to the most stable structure, in kJ/mol of atoms: i 0.0; ii 142.3.

## i
GGA-PBE Li2InSbH, optimized geometry; density of states at the Fermi level = 0.233 states/eV per atom; space-group type = P4/mmm, No. 123; M_tot = 0.0 μB per cell
1.0
4.609 0.000 0.000
0.000 4.609 0.000
0.000 0.000 4.227
Li In Sb H
2 1 1 1
direct
0.000 0.500 0.000
0.500 0.000 0.000
0.000 0.000 0.500
0.500 0.500 0.500
0.500 0.500 0.000

## ii
GGA-PBE Li2InSbH, optimized geometry; density of states at the Fermi level = 0.126 states/eV per atom; space-group type = P4/mmm, No. 123; M_tot = 0.0 μB per cell
1.0
4.298 0.000 0.000
0.000 4.298 0.000
0.000 0.000 4.616
Li In Sb H
2 1 1 1
direct
0.000 0.500 0.000
0.500 0.000 0.000
0.000 0.000 0.500
0.500 0.500 0.500
0.000 0.000 0.000

Energies relative to the most stable structure, in kJ/mol of atoms: i 11.0; ii 0.0.

## i
GGA-PBE Li2InSnH, optimized geometry; density of states at the Fermi level = 0.262 states/eV per atom; space-group type = P4/mmm, No. 123; M_tot = 0.0 μB per cell
1.0
4.270 0.000 0.000
0.000 4.270 0.000
0.000 0.000 4.713
Li In Sn H
2 1 1 1
direct
0.000 0.500 0.000
0.500 0.000 0.000
0.000 0.000 0.500
0.500 0.500 0.500
0.000 0.000 0.000

## ii
GGA-PBE Li2InSnH, optimized geometry; density of states at the Fermi level = 0.227 states/eV per atom; space-group type = P4/mmm, No. 123; M_tot = 0.0 μB per cell
1.0
4.359 0.000 0.000
0.000 4.359 0.000
0.000 0.000 4.493
Li In Sn H
2 1 1 1
direct
0.000 0.500 0.000
0.500 0.000 0.000
0.000 0.000 0.500
0.500 0.500 0.500
0.500 0.500 0.000

Energies relative to the most stable structure, in kJ/mol of atoms: i 0.0; ii 4.2.

## i
GGA-PBE Sr2LiInH, optimized geometry; density of states at the Fermi level = 0.570 states/eV per atom; space-group type = P4/mmm, No. 123; M_tot = 0.0 μB per cell
1.0
5.454 0.000 0.000
0.000 5.454 0.000
0.000 0.000 4.555
Sr Li In H
2 1 1 1
direct
0.000 0.500 0.000
0.500 0.000 0.000
0.000 0.000 0.500
0.500 0.500 0.500
0.500 0.500 0.000

## ii
GGA-PBE Sr2LiInH, optimized geometry; density of states at the Fermi level = 0.459 states/eV per atom; space-group type = P4/mmm, No. 123; M_tot = 0.0 μB per cell
1.0
5.530 0.000 0.000
0.000 5.530 0.000
0.000 0.000 4.219
Sr Li In H
2 1 1 1
direct
0.000 0.500 0.000
0.500 0.000 0.000
0.000 0.000 0.500
0.500 0.500 0.500
0.000 0.000 0.000

Energies relative to the most stable structure, in kJ/mol of atoms: i 16.7; ii 0.0.

## i
GGA-PBE Mg2InH2, optimized geometry; density of states at the Fermi level = 0.330 states/eV per atom; space-group type = P4/mbm, No. 127; M_tot = 0.0 μB per cell
1.0
7.150 0.000 0.000
0.000 7.150 0.000
0.000 0.000 2.966
Mg In H
4 2 4
direct
0.140 0.360 0.000
0.360 0.860 0.000
0.640 0.140 0.000
0.860 0.640 0.000
0.000 0.000 0.500
0.500 0.500 0.500
0.105 0.605 0.500
0.395 0.105 0.500
0.605 0.895 0.500
0.895 0.395 0.500

## ii
GGA-PBE Mg2InH2, optimized geometry; density of states at the Fermi level = 0.181 states/eV per atom; space-group type = I4/mmm, No. 139; M_tot = 0.0 μB per cell
1.0
-1.640 1.640 6.701
1.640 -1.640 6.701
1.640 1.640 -6.701
Mg In H
2 1 2
direct
0.163 0.163 0.000
0.837 0.837 0.000
0.500 0.500 0.000
0.250 0.750 0.500
0.750 0.250 0.500

Energies relative to the most stable structure, in kJ/mol of atoms: i 36.8; ii 0.0.

## i
GGA-PBE Mg4In2H, optimized geometry; density of states at the Fermi level = 0.438 states/eV per atom; space-group type = Pnma, No. 62; M_tot = 0.0 μB per cell
1.0
8.502 0.000 0.000
0.000 6.303 0.000
0.000 0.000 10.676
Mg In H
16 8 4
direct
0.044 0.250 0.123
0.111 0.000 0.645
0.111 0.500 0.645
0.231 0.750 0.390
0.269 0.250 0.890
0.389 0.000 0.145
0.389 0.500 0.145
0.456 0.750 0.623
0.544 0.250 0.377
0.611 0.000 0.855
0.611 0.500 0.855
0.731 0.750 0.110
0.769 0.250 0.610
0.889 0.000 0.355
0.889 0.500 0.355
0.956 0.750 0.877
0.080 0.750 0.142
0.192 0.250 0.392
0.308 0.750 0.892
0.420 0.250 0.642
0.580 0.750 0.358
0.692 0.250 0.108
0.808 0.750 0.608
0.920 0.250 0.858
0.230 0.750 0.573
0.270 0.250 0.073
0.730 0.750 0.927
0.770 0.250 0.427

## ii
GGA-PBE Mg4In2H, optimized geometry; density of states at the Fermi level = 0.498 states/eV per atom; space-group type = I4/mmm, No. 139; M_tot = 0.0 μB per cell
1.0
-2.208 2.208 7.453
2.208 -2.208 7.453
2.208 2.208 -7.453
Mg In H
4 2 1
direct
0.000 0.500 0.500
0.162 0.162 0.000
0.500 0.000 0.500
0.838 0.838 0.000
0.358 0.358 0.000
0.642 0.642 0.000
0.000 0.000 0.000

Energies relative to the most stable structure, in kJ/mol of atoms: i 0.0; ii 3.5.